1.
Density functional theory data (PBE-GGA) for Cs2RbUS6 after structural relaxation.

The structure in POSCAR format:
```
Cs2RbUS6
1.0
8.103 0.000 0.000
0.000 8.180 0.000
-8.040 0.000 11.559
Cs Rb U S
4 2 2 12
direct
0.244 0.030 0.249 Cs
0.244 0.470 0.749 Cs
0.756 0.530 0.251 Cs
0.756 0.970 0.751 Cs
0.500 0.000 0.000 Rb
0.500 0.500 0.500 Rb
0.000 0.000 0.500 U
0.000 0.500 0.000 U
0.148 0.249 0.971 S
0.148 0.251 0.471 S
0.228 0.679 0.977 S
0.228 0.821 0.477 S
0.265 0.014 0.715 S
0.265 0.486 0.215 S
0.735 0.514 0.785 S
0.735 0.986 0.285 S
0.772 0.179 0.523 S
0.772 0.321 0.023 S
0.852 0.749 0.529 S
0.852 0.751 0.029 S
```

Computed properties:
Fermi-level density of states in states/eV per atom: 0.12
Total magnetization in μB per atom: 0.296
Symmetry: P2_1/c
Final energy in Ry per atom: -0.349
Calculated volume in Å³ per cell: 766.1


2.
Density functional theory data (PBE-GGA) for SrAc3Te4 after structural relaxation.

The structure in POSCAR format:
```
SrAc3Te4
1.0
4.756 -6.686 0.000
4.756 6.686 0.000
0.000 0.000 4.707
Sr Ac Te
1 3 4
direct
0.000 0.000 0.000 Sr
0.000 0.500 0.500 Ac
0.500 0.000 0.500 Ac
0.500 0.500 0.000 Ac
0.247 0.247 0.500 Te
0.248 0.752 0.000 Te
0.752 0.248 0.000 Te
0.753 0.753 0.500 Te
```

Computed properties:
Fermi-level density of states in states/eV per atom: 0.51
Total magnetization in μB per atom: 0.000
Symmetry: Cmmm
Final energy in Ry per atom: -0.357
Calculated volume in Å³ per cell: 299.4


3.
Density functional theory data (PBE-GGA) for RbBaNb after structural relaxation.

The structure in POSCAR format:
```
RbBaNb
1.0
7.459 0.000 0.000
-3.729 6.459 0.000
0.000 0.000 12.623
Rb Ba Nb
2 2 2
direct
0.333 0.667 0.250 Rb
0.667 0.333 0.750 Rb
0.000 0.000 0.250 Ba
0.000 0.000 0.750 Ba
0.000 0.000 0.000 Nb
0.000 0.000 0.500 Nb
```

Computed properties:
Energy above the most stable polymorph in this dataset in meV/atom: 1617.0
Fermi-level density of states in states/eV per atom: 1.24
ΔH_f (0 K) in kJ/mol of formula units: 599.8
Total magnetization in μB per atom: 1.864
Symmetry: P6_3/mmc
Final energy in Ry per atom: -0.165
Calculated volume in Å³ per cell: 608.2


4.
Density functional theory data (PBE-GGA) for KSrLa2Ir after structural relaxation.

The structure in POSCAR format:
```
KSrLa2Ir
1.0
5.603 0.000 0.000
0.000 5.603 0.000
0.000 0.000 6.651
K Sr La Ir
1 1 2 1
direct
0.000 0.000 0.000 K
0.500 0.500 0.000 Sr
0.000 0.500 0.500 La
0.500 0.000 0.500 La
0.000 0.000 0.500 Ir
```

Computed properties:
Energy above the most stable polymorph in this dataset in meV/atom: 153.8
Fermi-level density of states in states/eV per atom: 1.11
ΔH_f (0 K) in kJ/mol of formula units: -28.5
Total magnetization in μB per atom: 0.006
Symmetry: P4/mmm
Final energy in Ry per atom: -0.320
Calculated volume in Å³ per cell: 208.8


5.
Density functional theory data (PBE-GGA) for Sc3PSe after structural relaxation.

The structure in POSCAR format:
```
Sc3PSe
1.0
7.474 -1.981 0.000
7.474 1.981 0.000
-4.358 0.000 7.041
Sc P Se
6 2 2
direct
0.045 0.045 0.379 Sc
0.262 0.262 0.344 Sc
0.352 0.352 0.046 Sc
0.648 0.648 0.954 Sc
0.738 0.738 0.656 Sc
0.955 0.955 0.621 Sc
0.156 0.156 0.755 P
0.844 0.844 0.245 P
0.389 0.389 0.744 Se
0.611 0.611 0.256 Se
```

Computed properties:
Energy above the most stable polymorph in this dataset in meV/atom: 0.0
Fermi-level density of states in states/eV per atom: 0.74
Total magnetization in μB per atom: 0.076
Symmetry: C2/m
Final energy in Ry per atom: -0.496
Calculated volume in Å³ per cell: 208.5


6.
Density functional theory data (PBE-GGA) for MgZr2Cl after structural relaxation.

The structure in POSCAR format:
```
MgZr2Cl
1.0
3.355 -3.976 0.000
3.355 3.976 0.000
0.000 0.000 3.130
Mg Zr Cl
1 2 1
direct
0.000 0.000 0.000 Mg
0.000 0.500 0.500 Zr
0.500 0.000 0.500 Zr
0.500 0.500 0.000 Cl
```

Computed properties:
Energy above the most stable polymorph in this dataset in meV/atom: 513.3
Fermi-level density of states in states/eV per atom: 1.13
Total magnetization in μB per atom: 0.000
Symmetry: Cmmm
Final energy in Ry per atom: -0.375
Calculated volume in Å³ per cell: 83.5


7.
Density functional theory data (PBE-GGA) for Sm4Zn2Cd after structural relaxation.

The structure in POSCAR format:
```
Sm4Zn2Cd
1.0
2.558 1.477 8.977
-2.558 1.477 8.977
0.000 -2.954 8.977
Sm Zn Cd
4 2 1
direct
0.120 0.120 0.120 Sm
0.294 0.294 0.294 Sm
0.706 0.706 0.706 Sm
0.880 0.880 0.880 Sm
0.403 0.403 0.403 Zn
0.597 0.597 0.597 Zn
0.500 0.500 0.500 Cd
```

Computed properties:
Energy above the most stable polymorph in this dataset in meV/atom: 121.0
Fermi-level density of states in states/eV per atom: 1.50
ΔH_f (0 K) in kJ/mol of formula units: -35.0
Total magnetization in μB per atom: 0.000
Symmetry: R-3m
Final energy in Ry per atom: -0.238
Calculated volume in Å³ per cell: 203.5


8.
Density functional theory data (PBE-GGA) for ZrBe2Cl after structural relaxation.

The structure in POSCAR format:
```
ZrBe2Cl
1.0
5.168 -1.534 0.000
5.168 1.534 0.000
-1.611 0.000 3.779
Zr Be Cl
1 2 1
direct
0.000 0.000 0.000 Zr
0.248 0.248 0.751 Be
0.752 0.752 0.249 Be
0.500 0.500 0.500 Cl
```

Computed properties:
Energy above the most stable polymorph in this dataset in meV/atom: 485.7
Fermi-level density of states in states/eV per atom: 0.41
Total magnetization in μB per atom: 0.000
Symmetry: C2/m
Final energy in Ry per atom: -0.312
Calculated volume in Å³ per cell: 59.9


Number 6 is which compound? MgZr2Cl